Entry from OQMD: Cs3Rb3ZnCoO5 after structural relaxation (PBE+U).

Cell lengths 7.0477, 7.0477, 7.0976 Å; angles 92.63, 92.63, 117.23 degrees
Last column: nearest neighbours and their distance in Å.
Element x y z (fractional)
Rb: 0.1194 0.5859 0.3119  5 O 2.84-3.02
Rb: 0.9794 0.9794 0.6340  2 O 2.87, 1 Co 3.11
Rb: 0.5859 0.1194 0.3119  5 O 2.84-3.02
O: 0.5218 0.7909 0.5743  1 Co 1.83
O: 0.9067 0.1827 0.0527  1 Zn 1.91
O: 0.1827 0.9067 0.0527  1 Zn 1.91
O: 0.7909 0.5218 0.5743  1 Co 1.83
O: 0.3935 0.3935 0.2684  1 Zn 1.93, 1 Co 1.94
Cs: 0.1429 0.5549 0.8153  4 O 2.83-3.07
Cs: 0.7039 0.7039 0.0222  3 O 2.99, 1 Zn 3.33
Cs: 0.5549 0.1429 0.8153  4 O 2.83-3.07
Zn: 0.1542 0.1542 0.1318  3 O 1.91-1.93
Co: 0.5675 0.5675 0.4898  3 O 1.83-1.94

Output
Crystal system: monoclinic
Energy above the lowest structure with this stoichiometry, eV per atom: 0.005
Density, g cm⁻³: 4.57
Calculated volume, Å³/cell: 312